# 1
A geometry-optimized CaZn2 structure. Source: the Alexandria database, functional PBE.

## Properties
Calculated volume, Å³/cell: 267.7
M_tot, μB/cell: 0.0
Theoretical density, Mg/m³: 4.24
Crystal system: monoclinic
Formation enthalpy at 0 K, eV per atom: -0.2362
Total DFT energy (no corrections), eV per atom: -1.753

Cell lengths 11.0788, 4.3744, 5.8533 Å; angles 90.00, 109.34, 90.00 degrees
With the nearest neighbours (Å) after each atom.
Space group C2/m (No. 12)
Asymmetric unit:
Ca1 0.1066 0.0000 0.3090 x4  10 Zn 3.12-3.44
Zn1 0.0997 0.5000 0.6988 x4  4 Zn 2.60-2.63
Zn2 0.2221 0.0000 0.8727 x4  5 Zn 2.60-2.63

***

# 2
A geometry-optimized Ca5Zn3 structure. Source: the Alexandria database, functional PBE.

## Properties
Calculated volume, Å³/cell: 949.1
E above lowest polymorph, meV per atom: 1.5
M_tot, μB/cell: 0.0
Theoretical density, Mg/m³: 2.78
Crystal system: tetragonal
Formation enthalpy at 0 K, eV per atom: -0.1931
Total DFT energy (no corrections), eV per atom: -1.922

Cell lengths 7.8362, 7.8362, 15.4562 Å; angles 90.00, 90.00, 90.00 degrees
With the nearest neighbours (Å) after each atom.
Space group I4/mcm (No. 140)
Asymmetric unit:
Ca1 0.0000 0.0000 0.0000 x4  4 Zn 3.14
Ca2 0.1707 0.3293 0.1477 x16  5 Zn 3.24-3.31, 1 Ca 3.62
Zn1 0.0000 0.0000 0.2500 x4  8 Ca 3.31
Zn2 0.1171 0.3829 0.5000 x8  1 Zn 2.59

***

# 3
A geometry-optimized Ca2Zn17 structure. Source: the Alexandria database, functional PBE.

## Properties
Calculated volume, Å³/cell: 943.7
M_tot, μB/cell: 0.0
Theoretical density, Mg/m³: 6.29
Crystal system: trigonal
Formation enthalpy at 0 K, eV per atom: -0.1762
Total DFT energy (no corrections), eV per atom: -1.527

Cell lengths 9.0867, 9.0867, 13.1975 Å; angles 90.00, 90.00, 120.00 degrees
With the nearest neighbours (Å) after each atom.
Space group R-3m (No. 166, hexagonal axes)
Asymmetric unit:
Ca1 0.0000 0.0000 0.1615 x6  19 Zn 3.13-3.47
Zn1 0.0000 0.0000 0.3988 x6  7 Zn 2.67-2.88
Zn2 0.0000 0.2971 0.5000 x18  8 Zn 2.60-2.76
Zn3 0.0000 0.5000 0.0000 x9  10 Zn 2.60-2.76
Zn4 0.0072 0.5036 0.6530 x18  9 Zn 2.59-2.88

***

# 4
A geometry-optimized CaZn2 structure. Source: the Alexandria database, functional PBE.

## Properties
Calculated volume, Å³/cell: 255.4
M_tot, μB/cell: 0.0
Theoretical density, Mg/m³: 4.44
Crystal system: monoclinic
Formation enthalpy at 0 K, eV per atom: -0.2932
Total DFT energy (no corrections), eV per atom: -1.810

Cell lengths 8.8412, 7.3643, 4.5806 Å; angles 90.00, 121.08, 90.00 degrees
With the nearest neighbours (Å) after each atom.
Space group C2/m (No. 12)
Asymmetric unit:
Ca1 0.2005 0.0000 0.4506 x4  12 Zn 3.13-3.35
Zn1 0.0856 0.3097 0.8353 x8  4 Zn 2.63-2.80

***

# 5
A geometry-optimized Ca5Zn4 structure. Source: the Alexandria database, functional PBE.

## Properties
Calculated volume, Å³/cell: 502.8
E above lowest polymorph, meV per atom: 58.4
M_tot, μB/cell: 0.0
Theoretical density, Mg/m³: 3.05
Crystal system: hexagonal
Formation enthalpy at 0 K, eV per atom: -0.1449
Total DFT energy (no corrections), eV per atom: -1.823

Cell lengths 9.3055, 9.3055, 6.7043 Å; angles 90.00, 90.00, 120.00 degrees
With the nearest neighbours (Å) after each atom.
Space group P6_3/mcm (No. 193)
Asymmetric unit:
Ca1 0.0000 0.2754 0.2500 x6  5 Zn 3.06-3.20
Ca2 0.3333 0.6667 0.0000 x4  6 Zn 3.34, 2 Ca 3.35
Zn1 0.0000 0.0000 0.0000 x2  6 Ca 3.06, 2 Zn 3.35
Zn2 0.0000 0.3858 0.7500 x6  9 Ca 3.15-3.51

***

# 6
A geometry-optimized Ca2Zn7 structure. Source: the Alexandria database, functional PBE.

## Properties
Calculated volume, Å³/cell: 1004.6
M_tot, μB/cell: 0.0
Theoretical density, Mg/m³: 5.34
Crystal system: trigonal
Formation enthalpy at 0 K, eV per atom: -0.2359
Total DFT energy (no corrections), eV per atom: -1.672

Cell lengths 5.4360, 5.4360, 39.2543 Å; angles 90.00, 90.00, 120.00 degrees
With the nearest neighbours (Å) after each atom.
Space group R-3m (No. 166, hexagonal axes)
Asymmetric unit:
Ca1 0.0000 0.0000 0.0527 x6  12 Zn 3.14-3.42
Ca2 0.0000 0.0000 0.1506 x6  12 Zn 3.16-3.26, 3 Ca 3.38
Zn1 0.0000 0.0000 0.2793 x6  6 Zn 2.64-2.68
Zn2 0.0000 0.0000 0.3880 x6  6 Zn 2.66-2.68
Zn3 0.0000 0.0000 0.5000 x3  6 Zn 2.74
Zn4 0.0000 0.5000 0.0000 x9  8 Zn 2.64-2.72
Zn5 0.0034 0.5017 0.8903 x18  7 Zn 2.68-2.75